# 1
A geometry-optimized BaCd4Ge2 structure, computed with PBE.

Output
- E: -2.283 eV per atom
- ΔE_f: -0.166 eV/atom
- Polymorph energy (0 for the lowest one): 84 meV per atom

Cell and atoms, written as CIF:
```
data_BaCd4Ge2
_cell_length_a 4.8813
_cell_length_b 4.8813
_cell_length_c 26.3374
_cell_angle_alpha 90.00
_cell_angle_beta 90.00
_cell_angle_gamma 120.00
_symmetry_space_group_name_H-M 'R -3 m'
_symmetry_Int_Tables_number 166
_symmetry_space_group_name_Hall '-R 3 2"'
loop_
_atom_site_label
_atom_site_type_symbol
_atom_site_fract_x
_atom_site_fract_y
_atom_site_fract_z
Ba1 Ba 0.0000 0.0000 0.0000
Cd1 Cd 0.0000 0.0000 0.1413
Cd2 Cd 0.0000 0.0000 0.4213
Ge1 Ge 0.0000 0.0000 0.2490
```

***

# 2
A geometry-optimized BaCd4Ge4 structure, computed with PBE.

Output
- E: -2.741 eV per atom
- ΔE_f: -0.068 eV/atom

Cell and atoms, written as CIF:
```
data_BaCd4Ge4
_cell_length_a 6.6096
_cell_length_b 6.6096
_cell_length_c 10.4009
_cell_angle_alpha 90.00
_cell_angle_beta 90.00
_cell_angle_gamma 90.00
_symmetry_space_group_name_H-M 'P 42/n m c'
_symmetry_Int_Tables_number 137
loop_
_symmetry_equiv_pos_as_xyz
'x,y,z'
'-x,-y,-z'
'-y+1/2,x,z+1/2'
'y+1/2,-x,-z+1/2'
'-x+1/2,-y+1/2,z'
'x+1/2,y+1/2,-z'
'y,-x+1/2,z+1/2'
'-y,x+1/2,-z+1/2'
'x+1/2,-y,-z'
'-x+1/2,y,z'
'-y,-x,-z+1/2'
'y,x,z+1/2'
'-x,y+1/2,-z'
'x,-y+1/2,z'
'y+1/2,x+1/2,-z+1/2'
'-y+1/2,-x+1/2,z+1/2'
loop_
_atom_site_label
_atom_site_type_symbol
_atom_site_fract_x
_atom_site_fract_y
_atom_site_fract_z
Ba1 Ba 0.2500 0.7500 0.2500
Cd1 Cd 0.0260 0.2500 0.0747
Ge1 Ge 0.0550 0.2500 0.3558
```

***

# 3
A geometry-optimized Ba2CdGe3 structure, computed with PBE.

Output
- E: -3.579 eV per atom
- ΔE_f: -0.477 eV/atom

Cell and atoms, written as CIF:
```
data_Ba2CdGe3
_cell_length_a 9.0665
_cell_length_b 10.0803
_cell_length_c 15.6997
_cell_angle_alpha 90.00
_cell_angle_beta 90.00
_cell_angle_gamma 90.00
_symmetry_space_group_name_H-M 'F m m m'
_symmetry_Int_Tables_number 69
_symmetry_space_group_name_Hall '-F 2 2'
loop_
_atom_site_label
_atom_site_type_symbol
_atom_site_fract_x
_atom_site_fract_y
_atom_site_fract_z
Ba1 Ba 0.0000 0.2400 0.0000
Ba2 Ba 0.2500 0.2500 0.2500
Cd1 Cd 0.0000 0.0000 0.3348
Ge1 Ge 0.0000 0.0000 0.1631
Ge2 Ge 0.2454 0.0000 0.0811
```

***

# 4
A geometry-optimized Ba2CdGe2 structure, computed with PBE.

Output
- E: -2.829 eV per atom
- ΔE_f: -0.030 eV/atom
- Polymorph energy (0 for the lowest one): 466 meV per atom

Cell and atoms, written as CIF:
```
data_Ba2CdGe2
_cell_length_a 9.7723
_cell_length_b 9.7723
_cell_length_c 3.5641
_cell_angle_alpha 90.00
_cell_angle_beta 90.00
_cell_angle_gamma 90.00
_symmetry_space_group_name_H-M 'P 4/m b m'
_symmetry_Int_Tables_number 127
_symmetry_space_group_name_Hall '-P 4 2ab'
loop_
_atom_site_label
_atom_site_type_symbol
_atom_site_fract_x
_atom_site_fract_y
_atom_site_fract_z
Ba1 Ba 0.1403 0.3597 0.0000
Cd1 Cd 0.0000 0.0000 0.0000
Ge1 Ge 0.1609 0.6609 0.5000
```

***

> What is the E in the third record?

-3.579 eV per atom